Below is NaVTe2I after structural relaxation, with properties calculated at the PBE level.

```
NaVTe2I
1.0
-1.6220 -4.7925 -1.2745
1.9765 -1.8546 4.4584
-5.3268 1.0579 2.8015
Na Te V I
1 2 1 1
Cartesian
-2.4862 -2.7946 2.9927
0.9882 -0.9273 2.2292
-0.8110 -2.3962 -0.6372
0.0000 0.0000 0.0000
-2.6634 0.5289 1.4007
```

Calculated values
Energy above the most stable polymorph in this dataset ... 0.00 eV/f.u.
Formation energy from raw total energies ... -1.42 eV per formula unit

***

Below is Cs2AlAuCl6 after structural relaxation, with properties calculated at the PBE level.

```
Cs2AlAuCl6
1.0
-6.6646 2.1463 -3.5734
-3.9729 -5.3101 4.2203
-6.1205 1.8396 3.8738
Cl Cs Al Au
6 2 1 1
Cartesian
-11.0125 -1.5633 2.3077
-3.1453 -0.9355 0.1913
-5.7454 0.2391 2.2130
-5.8687 -0.0584 -1.2689
-4.7688 -3.1054 1.9159
-7.4922 -2.2284 0.4556
-9.0519 1.2020 0.3119
-7.7061 -2.5262 4.2088
-5.3187 -1.5819 0.3235
0.0000 0.0000 0.0000
```

Calculated values
Formation energy from raw total energies ... -14.33 eV per formula unit

***

Below is LiHf2O4 after structural relaxation, with properties calculated at the PBE level.

```
LiHf2O4
1.0
-2.0684 -1.7037 -1.6137
-1.3553 -0.3251 5.1122
-6.0761 8.3964 -1.0768
O Li Hf
8 2 4
Cartesian
-2.9718 -0.5820 1.3917
-4.0722 3.3463 -1.3453
-1.0342 -0.8519 -0.8069
-7.7798 4.3674 2.3289
-6.5280 6.9496 1.0299
-4.7036 1.8111 1.0848
-4.7962 4.5565 1.3368
-1.7199 2.0001 0.0928
-6.0811 5.2042 -0.7319
-3.4187 1.1634 3.1536
-1.0599 0.3163 1.0246
-6.2963 3.0892 1.7770
-3.2035 3.2784 0.6447
-8.4399 6.0513 1.3971
```

Calculated values
Formation energy from raw total energies ... -20.70 eV per formula unit

***

Below is TbScH after structural relaxation, with properties calculated at the PBE level.

```
TbScH
1.0
-1.2334 -2.2359 2.0345
2.9341 -0.3565 1.3869
-2.1290 5.4298 2.0569
Tb Sc H
1 1 1
Cartesian
0.2235 0.7303 3.5578
-0.0966 0.3121 0.2845
-0.5552 1.7950 1.6361
```

Calculated values
Energy above the most stable polymorph in this dataset ... 0.61 eV/f.u.

***

Below is PrSnAs2 after structural relaxation, with properties calculated at the PBE level.

```
PrSnAs2
1.0
-2.7294 0.2560 2.7416
-3.7485 -0.0040 -0.9901
-2.3308 -9.0968 1.2705
As Pr Sn
2 1 1
Cartesian
-2.2758 -6.1544 1.0504
-6.5329 -2.6904 1.9715
0.0000 0.0000 0.0000
-4.4043 -4.4224 1.5110
```

Calculated values
Energy above the most stable polymorph in this dataset ... 2.66 eV/f.u.
DFT formation energy ... 0.0693 eV per atom

***

Below is CsTl4N2 after structural relaxation, with properties calculated at the PBE level.

```
CsTl4N2
1.0
-2.9086 -2.1685 -1.4370
1.4292 0.5560 -3.7318
8.9052 -14.5915 3.9941
N Tl Cs
2 4 1
Cartesian
4.0797 -8.3948 -0.8878
3.3461 -7.8091 -0.2869
3.3790 -3.5959 -1.4131
0.2230 -3.5256 -0.4294
6.9553 -10.4396 1.6754
7.2028 -12.6783 -0.7453
0.7146 0.2780 -1.8659
```

Calculated values
Formation energy from raw total energies ... 0.59 eV per formula unit

***

Below is YTcAu2 after structural relaxation, with properties calculated at the PBE level.

```
YTcAu2
1.0
9.0355 -0.0039 -0.0023
8.4492 3.2019 -0.0023
8.4492 1.5454 2.8043
Tc Y Au
1 1 2
Cartesian
12.8927 2.3581 1.3918
6.4139 1.1731 0.6924
19.5302 3.5721 2.1084
0.0640 0.0117 0.0069
```

Calculated values
Energy above the most stable polymorph in this dataset ... 1.73 eV/f.u.
DFT formation energy ... 0.2505 eV per atom

***

Below is Er3CuTe after structural relaxation, with properties calculated at the PBE level.

```
Er3CuTe
1.0
3.9620 -0.0009 0.0000
0.0016 6.8966 0.0000
0.0000 0.0000 9.6836
Cu Er Te
2 6 2
Cartesian
2.9727 5.1718 4.1201
0.9909 1.7239 5.5635
0.9905 0.0101 3.2691
2.9727 5.1718 0.8902
0.9913 3.4377 3.2691
0.9909 1.7239 8.7933
2.9731 6.8856 6.4145
2.9723 3.4580 6.4145
0.9917 5.1722 8.2179
2.9719 1.7235 1.4657
```

Calculated values
Energy above the most stable polymorph in this dataset ... 0.21 eV/f.u.
Formation energy from raw total energies ... -2.59 eV per formula unit

***

| no. | magnetic moment (μB/f.u.) | E (eV per atom) |
| --- | --- | --- |
| 1 | 1.54 | -3.938 |
| 2 | 0.00 | -3.414 |
| 3 | 0.00 | -8.908 |
| 4 | 0.00 | -4.875 |
| 5 | 0.00 | -4.451 |
| 6 | 0.00 | -3.768 |
| 7 | 1.20 | -5.596 |
| 8 | 0.00 | -4.703 |